Run P
## Hf6FeHg2 (PBE)

Data for crystalline Hf6FeHg2 at its relaxed geometry.

Cell lengths 3.333, 8.027, 8.028 Å; angles 119.99, 90.00, 90.00 degrees
Positions (direct):
Hf1 0.500 0.619 0.000
Hf2 0.500 0.380 0.380
Hf3 0.500 0.000 0.620
Hf4 0.000 0.240 0.000
Hf5 0.000 0.760 0.760
Hf6 0.000 0.000 0.240
Fe1 0.500 0.000 0.000
Hg1 0.000 0.333 0.667
Hg2 0.000 0.667 0.333

Magnetic moment   0.00 μB/cell
Density of states at the Fermi level   11.94 states/eV per cell

Run Q
## Hf6FeHg2 (PBE)

Data for crystalline Hf6FeHg2 at its relaxed geometry.

Cell lengths 4.939, 6.324, 8.017 Å; angles 116.74, 111.80, 80.23 degrees
Positions (direct):
Hf1 0.188 0.385 0.285
Hf2 0.908 0.101 0.718
Hf3 0.812 0.615 0.715
Hf4 0.549 0.232 0.001
Hf5 0.092 0.899 0.282
Hf6 0.451 0.768 0.999
Fe1 0.000 0.000 0.000
Hg1 0.677 0.681 0.358
Hg2 0.323 0.319 0.642

Magnetic moment   0.00 μB/cell
Density of states at the Fermi level   10.14 states/eV per cell

Most stable to least stable: run P, run Q